# Ba2HfFeO6, optimized geometry, DFT GGA+U
data_Ba2HfFeO6
_cell_length_a 5.845
_cell_length_b 5.845
_cell_length_c 8.239
_cell_angle_alpha 90.00
_cell_angle_beta 90.00
_cell_angle_gamma 90.00
_space_group_name_H-M_alt 'I 4/m m m'
_space_group_IT_number 139
_space_group_name_Hall '-I 4 2'
loop_
_atom_site_label
_atom_site_fract_x
_atom_site_fract_y
_atom_site_fract_z
_atom_site_occupancy
Ba1 0.000 0.500 0.250 1
Hf1 0.000 0.000 0.000 1
Fe1 0.000 0.000 0.500 1
O1 0.000 0.000 0.254 1
O2 0.247 0.247 0.500 1
# E_tot: -7.4988 eV/atom
# V: 14.07 A^3/atom